Material: Ti2ZnPt3
Method: DFT, GGA-PBE
State: relaxed

Cell: 6.4046 5.4339 7.5375 Å, 111.13 115.14 90.00°
Positions (direct):
Ti 0.4922 0.3412 0.6825
Ti 0.8097 0.1588 0.3175
Ti 0.1903 0.8412 0.6825
Ti 0.5078 0.6588 0.3175
Zn 0.0000 0.5000 0.0000
Zn 0.0000 0.0000 0.0000
Pt 0.5000 0.2500 0.0000
Pt 0.5000 0.7500 0.0000
Pt 0.8169 0.0669 0.6339
Pt 0.1831 0.4331 0.3661
Pt 0.1831 0.9331 0.3661
Pt 0.8169 0.5669 0.6339

* DFT total energy: -6.41 eV per atom
* energy relative to the lowest polymorph listed for this composition: 0.296 eV/atom
* space-group type: Ibam (72)
* V: 18.153 Å³/atom
* energy relative to the elements: -52 kJ/mol of atoms